[1]
NiGeBr3 at its PBEsol-relaxed geometry. Source: Alexandria, functional SCAN.

Unit cell a=5.2279 b=5.2279 c=5.2279 alpha=90.00 beta=90.00 gamma=90.00
Last column: magnetic moment on the atom in μB.
Atoms (fractional coordinates):
Ni  0.5000  0.5000  0.5000  0.99
Ge  0.0000  0.0000  0.0000  0.00
Br  0.0000  0.5000  0.0000  0.00
Br  0.0000  0.0000  0.5000  0.00
Br  0.5000  0.0000  0.0000  0.00

Calculated values
Fermi-level density of states: 11.4 states/eV/f.u.
Uncorrected formation energy: 399.8 meV per atom
Volume: 142.9 Å³/cell

---

[2]
Ni3GeBr at its PBEsol-relaxed geometry. Source: Alexandria, functional SCAN.

Unit cell a=4.3394 b=4.3394 c=4.3394 alpha=90.00 beta=90.00 gamma=90.00
Atoms (fractional coordinates):
Ni  0.0000  0.5000  0.0000
Ni  0.0000  0.0000  0.5000
Ni  0.5000  0.0000  0.0000
Ge  0.5000  0.5000  0.5000
Br  0.0000  0.0000  0.0000

Calculated values
Fermi-level density of states: 3.1 states/eV/f.u.
Uncorrected formation energy: 983.4 meV per atom
Volume: 81.7 Å³/cell

---

[3]
Ni2GeSbBr at its PBEsol-relaxed geometry. Source: Alexandria, functional SCAN.

Unit cell a=4.4008 b=4.4008 c=5.2967 alpha=90.00 beta=90.00 gamma=90.00
Atoms (fractional coordinates):
Sb  0.5000  0.5000  0.5000
Ge  0.0000  0.0000  0.0000
Br  0.0000  0.0000  0.5000
Ni  0.0000  0.5000  0.0000
Ni  0.5000  0.0000  0.0000

Calculated values
Fermi-level density of states: 5.0 states/eV/f.u.
Uncorrected formation energy: 781.4 meV per atom
Volume: 102.6 Å³/cell

---

[4]
GeBr3O at its PBEsol-relaxed geometry. Source: Alexandria, functional SCAN.

Unit cell a=5.1372 b=5.1372 c=5.1372 alpha=90.00 beta=90.00 gamma=90.00
Last column: magnetic moment on the atom in μB.
Atoms (fractional coordinates):
Ge  0.0000  0.0000  0.0000  0.00
O  0.5000  0.5000  0.5000  1.62
Br  0.0000  0.5000  0.0000  0.06
Br  0.0000  0.0000  0.5000  0.06
Br  0.5000  0.0000  0.0000  0.06

Calculated values
Fermi-level density of states: 6.0 states/eV/f.u.
Uncorrected formation energy: 396.4 meV per atom
Volume: 135.6 Å³/cell

---

[5]
GeOs2Br at its PBEsol-relaxed geometry. Source: Alexandria, functional SCAN.

Unit cell a=4.3868 b=4.3868 c=4.3868 alpha=60.00 beta=60.00 gamma=60.00
Atoms (fractional coordinates):
Ge  0.0000  0.0000  0.0000
Os  0.2500  0.2500  0.2500
Os  0.7500  0.7500  0.7500
Br  0.5000  0.5000  0.5000

Calculated values
Fermi-level density of states: 2.6 states/eV/f.u.
Uncorrected formation energy: 1238.8 meV per atom
Volume: 59.7 Å³/cell

---

[6]
GeOsBr2 at its PBEsol-relaxed geometry. Source: Alexandria, functional SCAN.

Unit cell a=2.9116 b=2.9116 c=11.7143 alpha=82.86 beta=82.86 gamma=60.00
Atoms (fractional coordinates):
Ge  0.5000  0.5000  0.5000
Os  0.0000  0.0000  0.0000
Br  0.9321  0.9321  0.2037
Br  0.0679  0.0679  0.7963

Calculated values
Fermi-level density of states: 2.7 states/eV/f.u.
Uncorrected formation energy: 793.4 meV per atom
Volume: 85.1 Å³/cell

---

[7]
Ge19P4Br4 at its PBEsol-relaxed geometry. Source: Alexandria, functional SCAN.

Unit cell a=10.3938 b=10.3938 c=10.3938 alpha=90.00 beta=90.00 gamma=90.00
Atoms (fractional coordinates):
Ge  0.9983  0.1182  0.3073
Ge  0.5017  0.8073  0.3818
Ge  0.5017  0.1927  0.6182
Ge  0.1927  0.3818  0.4983
Ge  0.8073  0.3818  0.5017
Ge  0.6182  0.5017  0.1927
Ge  0.3818  0.4983  0.1927
Ge  0.3073  0.9983  0.1182
Ge  0.1182  0.3073  0.9983
Ge  0.8818  0.6927  0.9983
Ge  0.3073  0.0017  0.8818
Ge  0.8818  0.3073  0.0017
Ge  0.6927  0.0017  0.1182
Ge  0.6927  0.9983  0.8818
Ge  0.1182  0.6927  0.0017
Ge  0.9983  0.8818  0.6927
Ge  0.0017  0.1182  0.6927
Ge  0.0017  0.8818  0.3073
Ge  0.3818  0.5017  0.8073
Ge  0.6182  0.4983  0.8073
Ge  0.1927  0.6182  0.5017
Ge  0.8073  0.6182  0.4983
Ge  0.4983  0.1927  0.3818
Ge  0.4983  0.8073  0.6182
Ge  0.1852  0.1852  0.1852
Ge  0.3148  0.6852  0.3148
Ge  0.3148  0.3148  0.6852
Ge  0.6852  0.3148  0.3148
Ge  0.8148  0.8148  0.1852
Ge  0.1852  0.8148  0.8148
Ge  0.8148  0.1852  0.8148
Ge  0.6852  0.6852  0.6852
Ge  0.0000  0.2500  0.5000
Ge  0.5000  0.0000  0.2500
Ge  0.5000  0.0000  0.7500
Ge  0.7500  0.5000  0.0000
Ge  0.2500  0.5000  0.0000
Ge  0.0000  0.7500  0.5000
P  0.8161  0.8161  0.8161
P  0.6839  0.3161  0.6839
P  0.6839  0.6839  0.3161
P  0.3161  0.6839  0.6839
P  0.1839  0.1839  0.8161
P  0.8161  0.1839  0.1839
P  0.1839  0.8161  0.1839
P  0.3161  0.3161  0.3161
Br  0.0000  0.5000  0.2500
Br  0.5000  0.7500  0.0000
Br  0.5000  0.2500  0.0000
Br  0.2500  0.0000  0.5000
Br  0.7500  0.0000  0.5000
Br  0.0000  0.5000  0.7500
Br  0.0000  0.0000  0.0000
Br  0.5000  0.5000  0.5000

Calculated values
Fermi-level density of states: 0.0 states/eV/f.u.
Uncorrected formation energy: -188.1 meV per atom
Volume: 1122.8 Å³/cell

---

[8]
GePSeBr2 at its PBEsol-relaxed geometry. Source: Alexandria, functional SCAN.

Unit cell a=4.9362 b=4.9362 c=4.9127 alpha=90.00 beta=90.00 gamma=90.00
Atoms (fractional coordinates):
P  0.0000  0.0000  0.0000
Ge  0.5000  0.5000  0.5000
Se  0.0000  0.0000  0.5000
Br  0.0000  0.5000  0.0000
Br  0.5000  0.0000  0.0000

Calculated values
Fermi-level density of states: 3.1 states/eV/f.u.
Uncorrected formation energy: 410.4 meV per atom
Volume: 119.7 Å³/cell

---

[9]
Ge3PbBr at its PBEsol-relaxed geometry. Source: Alexandria, functional SCAN.

Unit cell a=5.1324 b=5.1324 c=5.1324 alpha=90.00 beta=90.00 gamma=90.00
Atoms (fractional coordinates):
Pb  0.5000  0.5000  0.5000
Ge  0.0000  0.5000  0.0000
Ge  0.0000  0.0000  0.5000
Ge  0.5000  0.0000  0.0000
Br  0.0000  0.0000  0.0000

Calculated values
Fermi-level density of states: 2.7 states/eV/f.u.
Uncorrected formation energy: 937.6 meV per atom
Volume: 135.2 Å³/cell

---

[10]
GePdSeBr2 at its PBEsol-relaxed geometry. Source: Alexandria, functional SCAN.

Unit cell a=4.9032 b=4.9032 c=5.0494 alpha=90.00 beta=90.00 gamma=90.00
Atoms (fractional coordinates):
Ge  0.5000  0.5000  0.5000
Se  0.0000  0.0000  0.5000
Br  0.0000  0.5000  0.0000
Br  0.5000  0.0000  0.0000
Pd  0.0000  0.0000  0.0000

Calculated values
Fermi-level density of states: 0.9 states/eV/f.u.
Uncorrected formation energy: 168.0 meV per atom
Volume: 121.4 Å³/cell

---

[11]
GePt2Br at its PBEsol-relaxed geometry. Source: Alexandria, functional SCAN.

Unit cell a=4.5540 b=4.5540 c=4.5540 alpha=60.00 beta=60.00 gamma=60.00
Atoms (fractional coordinates):
Ge  0.0000  0.0000  0.0000
Br  0.5000  0.5000  0.5000
Pt  0.2500  0.2500  0.2500
Pt  0.7500  0.7500  0.7500

Calculated values
Fermi-level density of states: 1.3 states/eV/f.u.
Uncorrected formation energy: 456.3 meV per atom
Volume: 66.8 Å³/cell

---

[12]
Tl2GePtBr at its PBEsol-relaxed geometry. Source: Alexandria, functional SCAN.

Unit cell a=5.0416 b=5.6997 c=5.6997 alpha=90.00 beta=90.00 gamma=90.00
Atoms (fractional coordinates):
Tl  0.0000  0.0000  0.5000
Tl  0.0000  0.5000  0.0000
Ge  0.5000  0.0000  0.0000
Br  0.0000  0.0000  0.0000
Pt  0.5000  0.5000  0.5000

Calculated values
Fermi-level density of states: 1.8 states/eV/f.u.
Uncorrected formation energy: 997.5 meV per atom
Volume: 163.8 Å³/cell